Computed, not measured: crystalline Dy3SbCl2O6 at its relaxed geometry at the GGA-PBE level of DFT.

```
data_Dy3SbCl2O6
_chemical_formula_sum 'Dy6 Sb2 Cl4 O12'
_space_group_name_H-M_alt 'C 1 2/m 1'
_space_group_IT_number 12
_cell_length_a 11.606
_cell_length_b 6.570
_cell_length_c 5.473
_cell_angle_alpha 90.00
_cell_angle_beta 99.31
_cell_angle_gamma 90.00
loop_
_space_group_symop_operation_xyz
'x,y,z'
'-x,-y,-z'
'-x,y,-z'
'x,-y,z'
'x+1/2,y+1/2,z'
'-x+1/2,-y+1/2,-z'
'-x+1/2,y+1/2,-z'
'x+1/2,-y+1/2,z'
loop_
_atom_site_label
_atom_site_type_symbol
_atom_site_fract_x
_atom_site_fract_y
_atom_site_fract_z
_atom_site_occupancy
Dy1 Dy 0.000 0.000 0.000 1
Dy2 Dy 0.250 0.250 0.500 1
Sb1 Sb 0.000 0.500 0.500 1
Cl1 Cl 0.206 0.000 0.853 1
O1 O 0.061 0.259 0.294 1
O2 O 0.166 0.500 0.673 1
```

Computed properties:
Calculated total energy in eV per atom: -6.668
E_form (uncorrected) in eV/atom: -2.387